Entry 1:
A relaxed MnInP2 crystal. Source: the Alexandria database, functional GGA-PBE.

Values from the calculation:
* crystal system: tetragonal
* formation energy from the elements: 0.053 eV per atom

Cell and atoms, written as POSCAR:
```
MnInP2
1.0
3.615 0.000 0.000
0.000 3.615 0.000
0.000 0.000 5.819
Mn In P
1 1 2
direct
0.000 0.000 0.000 Mn
0.500 0.500 0.531 In
0.000 0.000 0.410 P
0.500 0.500 0.979 P
```

Entry 2:
A relaxed MnInP2 crystal. Source: the Alexandria database, functional GGA-PBE.

Values from the calculation:
* crystal system: monoclinic
* formation energy from the elements: 0.028 eV per atom

Cell and atoms, written as POSCAR:
```
MnInP2
1.0
10.699 0.000 0.000
0.000 2.829 0.000
-2.117 0.000 4.647
Mn In P
2 2 4
direct
0.000 0.000 0.000 Mn
0.500 0.500 0.000 Mn
0.271 0.000 0.038 In
0.771 0.500 0.038 In
0.089 0.500 0.395 P
0.447 0.000 0.622 P
0.589 0.000 0.395 P
0.947 0.500 0.622 P
```

Entry 3:
A relaxed MnInP2 crystal. Source: the Alexandria database, functional GGA-PBE.

Values from the calculation:
* crystal system: orthorhombic
* formation energy from the elements: 0.307 eV per atom

Cell and atoms, written as POSCAR:
```
MnInP2
1.0
3.638 0.000 0.000
0.000 5.420 0.000
0.000 0.000 7.487
Mn In P
2 2 4
direct
0.000 0.000 0.000 Mn
0.500 0.500 0.500 Mn
0.000 0.000 0.500 In
0.500 0.500 0.000 In
0.000 0.500 0.291 P
0.000 0.500 0.709 P
0.500 0.000 0.209 P
0.500 0.000 0.791 P
```

Entry 4:
A relaxed Mn2InP crystal. Source: the Alexandria database, functional GGA-PBE.

Values from the calculation:
* crystal system: monoclinic
* formation energy from the elements: -0.049 eV per atom

Cell and atoms, written as POSCAR:
```
Mn2InP
1.0
5.768 0.000 0.000
0.000 3.326 0.000
-1.911 0.000 6.514
Mn In P
4 2 2
direct
0.225 0.000 0.174 Mn
0.275 0.500 0.826 Mn
0.725 0.500 0.174 Mn
0.775 0.000 0.826 Mn
0.000 0.000 0.500 In
0.500 0.500 0.500 In
0.000 0.500 0.000 P
0.500 0.000 0.000 P
```

Entry 5:
A relaxed MnInP2 crystal. Source: the Alexandria database, functional GGA-PBE.

Values from the calculation:
* crystal system: orthorhombic
* formation energy from the elements: 0.352 eV per atom

Cell and atoms, written as POSCAR:
```
MnInP2
1.0
5.423 0.000 0.000
0.000 7.179 0.000
0.000 0.000 3.576
Mn In P
2 2 4
direct
0.000 0.000 0.000 Mn
0.500 0.500 0.000 Mn
0.000 0.500 0.000 In
0.500 0.000 0.000 In
0.250 0.250 0.500 P
0.250 0.750 0.500 P
0.750 0.250 0.500 P
0.750 0.750 0.500 P
```

Entry 6:
A relaxed MnInP2 crystal. Source: the Alexandria database, functional GGA-PBE.

Values from the calculation:
* crystal system: tetragonal
* formation energy from the elements: 0.351 eV per atom

Cell and atoms, written as POSCAR:
```
MnInP2
1.0
3.723 0.000 0.000
0.000 3.723 0.000
0.000 0.000 10.373
Mn In P
2 2 4
direct
0.000 0.000 0.000 Mn
0.500 0.500 0.500 Mn
0.000 0.500 0.250 In
0.500 0.000 0.750 In
0.000 0.000 0.500 P
0.000 0.500 0.750 P
0.500 0.000 0.250 P
0.500 0.500 0.000 P
```

Entry 7:
A relaxed MnInP2 crystal. Source: the Alexandria database, functional GGA-PBE.

Values from the calculation:
* crystal system: orthorhombic
* formation energy from the elements: 0.007 eV per atom

Cell and atoms, written as POSCAR:
```
MnInP2
1.0
2.999 0.000 0.000
0.000 3.089 0.000
0.000 0.000 7.111
Mn In P
1 1 2
direct
0.000 0.000 0.000 Mn
0.000 0.000 0.500 In
0.500 0.500 0.168 P
0.500 0.500 0.832 P
```

Entry 8:
A relaxed Mn2InP crystal. Source: the Alexandria database, functional GGA-PBE.

Values from the calculation:
* crystal system: orthorhombic
* formation energy from the elements: 0.082 eV per atom

Cell and atoms, written as POSCAR:
```
Mn2InP
1.0
3.352 0.000 0.000
0.000 4.806 0.000
0.000 0.000 7.368
Mn In P
4 2 2
direct
0.000 0.000 0.196 Mn
0.000 0.000 0.804 Mn
0.500 0.500 0.304 Mn
0.500 0.500 0.696 Mn
0.000 0.500 0.000 In
0.500 0.000 0.500 In
0.000 0.500 0.500 P
0.500 0.000 0.000 P
```

Entry 9:
A relaxed MnInP3 crystal. Source: the Alexandria database, functional GGA-PBE.

Values from the calculation:
* ΔE to the lowest computed polymorph: 1505 meV per atom
* crystal system: cubic
* formation energy from the elements: 1.899 eV per atom

Cell and atoms, written as POSCAR:
```
MnInP3
1.0
4.945 0.000 0.000
0.000 4.945 0.000
0.000 0.000 4.945
Mn In P
1 1 3
direct
0.000 0.000 0.000 Mn
0.500 0.500 0.500 In
0.000 0.500 0.500 P
0.500 0.000 0.500 P
0.500 0.500 0.000 P
```

Entry 10:
A relaxed Mn2InP crystal. Source: the Alexandria database, functional GGA-PBE.

Values from the calculation:
* crystal system: tetragonal
* formation energy from the elements: 0.238 eV per atom

Cell and atoms, written as POSCAR:
```
Mn2InP
1.0
4.067 0.000 0.000
0.000 4.067 0.000
0.000 0.000 3.786
Mn In P
2 1 1
direct
0.000 0.500 0.000 Mn
0.500 0.000 0.000 Mn
0.000 0.000 0.500 In
0.500 0.500 0.500 P
```

Entry 11:
A relaxed Mn2InP crystal. Source: the Alexandria database, functional GGA-PBE.

Values from the calculation:
* crystal system: cubic
* formation energy from the elements: 0.563 eV per atom

Cell and atoms, written as POSCAR:
```
Mn2InP
1.0
6.486 0.000 0.000
0.000 6.486 0.000
0.000 0.000 6.486
Mn In P
8 4 4
direct
0.000 0.000 0.000 Mn
0.000 0.500 0.500 Mn
0.250 0.250 0.250 Mn
0.250 0.750 0.750 Mn
0.500 0.000 0.500 Mn
0.500 0.500 0.000 Mn
0.750 0.250 0.750 Mn
0.750 0.750 0.250 Mn
0.000 0.000 0.500 In
0.000 0.500 0.000 In
0.500 0.000 0.000 In
0.500 0.500 0.500 In
0.250 0.250 0.750 P
0.250 0.750 0.250 P
0.750 0.250 0.250 P
0.750 0.750 0.750 P
```

Entry 12:
A relaxed Mn2InP crystal. Source: the Alexandria database, functional GGA-PBE.

Values from the calculation:
* crystal system: monoclinic
* formation energy from the elements: 0.277 eV per atom

Cell and atoms, written as POSCAR:
```
Mn2InP
1.0
5.701 0.000 0.000
0.000 7.374 0.000
-0.272 0.000 2.984
Mn In P
4 2 2
direct
0.250 0.250 0.000 Mn
0.250 0.750 0.000 Mn
0.750 0.250 0.000 Mn
0.750 0.750 0.000 Mn
0.000 0.000 0.500 In
0.500 0.500 0.500 In
0.000 0.500 0.500 P
0.500 0.000 0.500 P
```

Entry 13:
A relaxed MnInP3 crystal. Source: the Alexandria database, functional GGA-PBE.

Values from the calculation:
* ΔE to the lowest computed polymorph: 0 meV per atom
* crystal system: cubic
* formation energy from the elements: 0.394 eV per atom

Cell and atoms, written as POSCAR:
```
MnInP3
1.0
4.481 0.000 0.000
0.000 4.481 0.000
0.000 0.000 4.481
Mn In P
1 1 3
direct
0.000 0.000 0.000 Mn
0.500 0.500 0.500 In
0.000 0.000 0.500 P
0.000 0.500 0.000 P
0.500 0.000 0.000 P
```

Entry 14:
A relaxed MnInP2 crystal. Source: the Alexandria database, functional GGA-PBE.

Values from the calculation:
* crystal system: monoclinic
* formation energy from the elements: 0.033 eV per atom

Cell and atoms, written as POSCAR:
```
MnInP2
1.0
4.095 0.000 0.000
0.000 3.535 0.000
-1.737 0.000 5.203
Mn In P
1 1 2
direct
0.000 0.000 0.000 Mn
0.500 0.000 0.500 In
0.265 0.500 0.832 P
0.735 0.500 0.168 P
```

Entry 15:
A relaxed MnInPS2 crystal. Source: the Alexandria database, functional GGA-PBE.

Values from the calculation:
* ΔE to the lowest computed polymorph: 740 meV per atom
* crystal system: tetragonal
* raw formation energy: 0.86 eV per atom

Cell and atoms, written as POSCAR:
```
MnInPS2
1.0
5.024 0.000 0.000
0.000 5.024 0.000
0.000 0.000 4.988
Mn In P S
1 1 1 2
direct
0.000 0.000 0.000 Mn
0.500 0.500 0.500 In
0.500 0.500 0.000 P
0.000 0.500 0.500 S
0.500 0.000 0.500 S
```

Entry 16:
A relaxed MnInPS2 crystal. Source: the Alexandria database, functional GGA-PBE.

Values from the calculation:
* ΔE to the lowest computed polymorph: 0 meV per atom
* crystal system: tetragonal
* raw formation energy: 0.12 eV per atom

Cell and atoms, written as POSCAR:
```
MnInPS2
1.0
4.651 0.000 0.000
0.000 4.651 0.000
0.000 0.000 4.522
Mn In P S
1 1 1 2
direct
0.000 0.000 0.000 Mn
0.500 0.500 0.500 In
0.000 0.000 0.500 P
0.000 0.500 0.000 S
0.500 0.000 0.000 S
```

Entry 17:
A relaxed MnIn2SbP crystal. Source: the Alexandria database, functional GGA-PBE.

Values from the calculation:
* crystal system: tetragonal
* raw formation energy: 0.56 eV per atom

Cell and atoms, written as POSCAR:
```
MnIn2SbP
1.0
5.056 0.000 0.000
0.000 5.056 0.000
0.000 0.000 4.736
Mn In Sb P
1 2 1 1
direct
0.000 0.000 0.000 Mn
0.000 0.500 0.000 In
0.500 0.000 0.000 In
0.000 0.000 0.500 Sb
0.500 0.500 0.500 P
```

Entry 18:
A relaxed ScMnInP2 crystal. Source: the Alexandria database, functional GGA-PBE.

Values from the calculation:
* crystal system: tetragonal
* formation energy from the elements: 0.905 eV per atom

Cell and atoms, written as POSCAR:
```
ScMnInP2
1.0
4.919 0.000 0.000
0.000 4.919 0.000
0.000 0.000 4.676
Sc Mn In P
1 1 1 2
direct
0.000 0.000 0.000 Sc
0.000 0.000 0.500 Mn
0.500 0.500 0.500 In
0.000 0.500 0.000 P
0.500 0.000 0.000 P
```

Entry 19:
A relaxed Ta2MnInP crystal. Source: the Alexandria database, functional GGA-PBE.

Values from the calculation:
* crystal system: tetragonal
* formation energy from the elements: 0.239 eV per atom

Cell and atoms, written as POSCAR:
```
Ta2MnInP
1.0
4.676 0.000 0.000
0.000 4.676 0.000
0.000 0.000 4.246
Ta Mn In P
2 1 1 1
direct
0.000 0.500 0.000 Ta
0.500 0.000 0.000 Ta
0.000 0.000 0.500 Mn
0.500 0.500 0.500 In
0.000 0.000 0.000 P
```

Entry 20:
A relaxed MnV2InP crystal. Source: the Alexandria database, functional GGA-PBE.

Values from the calculation:
* crystal system: tetragonal
* formation energy from the elements: 0.186 eV per atom

Cell and atoms, written as POSCAR:
```
MnV2InP
1.0
4.382 0.000 0.000
0.000 4.382 0.000
0.000 0.000 4.190
Mn V In P
1 2 1 1
direct
0.000 0.000 0.000 Mn
0.000 0.500 0.500 V
0.500 0.000 0.500 V
0.500 0.500 0.000 In
0.000 0.000 0.500 P
```

These records have size of the total moment values of 3.7, 1.7, 3.4, 3.9, 3.6, 3.8, 1.8, 3.7, 0.7, 6.6, 7.3, 6.4, 0.0, 3.1, 3.8, 2.5, 2.8, 0.1, 2.7, 1.6 μB per formula unit, in the order they appear.